A plane-wave DFT calculation with GGA-PBE was carried out for crystalline LaIn2Rh2 at its relaxed geometry.

The structure belongs to space group P4/mbm (No. 127); the cell edges are 8.146, 8.146 and 3.071 Å and the angles 90.00°, 90.00° and 90.00°. The asymmetric unit holds La at (0.000, 0.000, 0.000), In at (0.123, 0.377, 0.000) and Rh at (0.176, 0.676, 0.500).

As for the total magnetization: 0.00 μB per formula unit. The calculated formation energy is -0.4263 eV/atom. The density of states at the Fermi level comes out at 5.084 states/eV/cell.